--- A ---
A plane-wave DFT calculation with PBE was carried out for crystalline NaIn6Pb2 at its relaxed geometry.

```
NaIn6Pb2
1.0
-1.616 4.143 9.978
1.616 -4.143 9.978
1.616 4.143 -9.978
Na In Pb
1 6 2
direct
0.000 0.000 0.000
0.050 0.359 0.691
0.330 0.500 0.830
0.332 0.641 0.691
0.668 0.359 0.309
0.670 0.500 0.170
0.950 0.641 0.309
0.286 0.786 0.500
0.714 0.214 0.500
```

Properties
As for the space group: Immm.

--- B ---
A plane-wave DFT calculation with PBE was carried out for crystalline NaIn6Pb2 at its relaxed geometry.

```
NaIn6Pb2
1.0
7.744 -3.263 0.000
7.744 3.263 0.000
-1.996 0.000 5.204
Na In Pb
1 6 2
direct
0.000 0.000 0.000
0.124 0.655 0.390
0.210 0.210 0.210
0.345 0.876 0.610
0.655 0.124 0.390
0.790 0.790 0.790
0.876 0.345 0.610
0.349 0.349 0.849
0.651 0.651 0.151
```

Properties
As for the space group: C2/m.

Most favorable first, least favorable last: B, A

--- A ---
A plane-wave DFT calculation with PBE was carried out for crystalline Na2InPb at its relaxed geometry.

```
Na2InPb
1.0
-4.405 4.405 3.189
4.405 -4.405 3.189
4.405 4.405 -3.189
Na In Pb
4 2 2
direct
0.123 0.625 0.998
0.375 0.373 0.498
0.627 0.125 0.002
0.875 0.877 0.502
0.000 0.000 0.000
0.750 0.250 0.500
0.250 0.750 0.500
0.500 0.500 0.000
```

Properties
As for the space group: I-42d.

--- B ---
A plane-wave DFT calculation with PBE was carried out for crystalline Na2InPb at its relaxed geometry.

```
Na2InPb
1.0
0.000 3.805 3.805
3.805 0.000 3.805
3.805 3.805 0.000
Na In Pb
2 1 1
direct
0.250 0.250 0.250
0.750 0.750 0.750
0.000 0.000 0.000
0.500 0.500 0.500
```

Properties
As for the space group: Fm-3m.

Most favorable first, least favorable last: B, A

--- A ---
A plane-wave DFT calculation with PBE was carried out for crystalline Na2InPb at its relaxed geometry.

```
Na2InPb
1.0
3.692 0.000 0.000
0.000 3.692 0.000
0.000 0.000 8.148
Na In Pb
2 1 1
direct
0.000 0.000 0.249
0.000 0.000 0.751
0.500 0.500 0.000
0.500 0.500 0.500
```

Properties
As for the space group: P4/mmm.

--- B ---
A plane-wave DFT calculation with PBE was carried out for crystalline Na2InPb at its relaxed geometry.

```
Na2InPb
1.0
1.760 1.016 10.772
-1.760 1.016 10.772
0.000 -2.033 10.772
Na In Pb
2 1 1
direct
0.000 0.000 0.000
0.167 0.167 0.167
0.583 0.583 0.583
0.417 0.417 0.417
```

Properties
As for the space group: R3m.

Most favorable first, least favorable last: A, B

--- A ---
A plane-wave DFT calculation with PBE was carried out for crystalline Na2InPb at its relaxed geometry.

```
Na2InPb
1.0
4.531 -2.607 0.000
4.531 2.607 0.000
-0.013 0.000 10.209
Na In Pb
4 2 2
direct
0.165 0.165 0.404
0.166 0.166 0.058
0.834 0.834 0.942
0.835 0.835 0.596
0.168 0.168 0.728
0.832 0.832 0.272
0.499 0.499 0.173
0.501 0.501 0.827
```

Properties
As for the space group: C2/m.

--- B ---
A plane-wave DFT calculation with PBE was carried out for crystalline Na2InPb at its relaxed geometry.

```
Na2InPb
1.0
4.712 -2.641 0.000
4.712 2.641 0.000
-3.155 0.000 4.498
Na In Pb
2 1 1
direct
0.000 0.000 0.000
0.746 0.746 0.245
0.253 0.253 0.754
0.496 0.496 0.494
```

Properties
As for the space group: Cm.

Most favorable first, least favorable last: B, A

--- A ---
A plane-wave DFT calculation with PBE was carried out for crystalline NaIn8Pb6 at its relaxed geometry.

```
NaIn8Pb6
1.0
4.638 2.678 6.167
-4.638 2.678 6.167
0.000 -5.356 6.167
Na In Pb
1 8 6
direct
0.000 0.000 0.000
0.148 0.465 0.815
0.185 0.852 0.535
0.206 0.206 0.206
0.465 0.815 0.148
0.535 0.185 0.852
0.794 0.794 0.794
0.815 0.148 0.465
0.852 0.535 0.185
0.159 0.585 0.323
0.323 0.159 0.585
0.415 0.677 0.841
0.585 0.323 0.159
0.677 0.841 0.415
0.841 0.415 0.677
```

Properties
As for the space group: R-3.

--- B ---
A plane-wave DFT calculation with PBE was carried out for crystalline NaIn8Pb6 at its relaxed geometry.

```
NaIn8Pb6
1.0
4.252 2.455 6.976
-4.252 2.455 6.976
0.000 -4.910 6.976
Na In Pb
1 8 6
direct
0.000 0.000 0.000
0.118 0.804 0.670
0.196 0.330 0.882
0.330 0.882 0.196
0.424 0.424 0.424
0.576 0.576 0.576
0.670 0.118 0.804
0.804 0.670 0.118
0.882 0.196 0.330
0.072 0.264 0.540
0.264 0.540 0.072
0.460 0.928 0.736
0.540 0.072 0.264
0.736 0.460 0.928
0.928 0.736 0.460
```

Properties
As for the space group: R-3.

Most favorable first, least favorable last: B, A

--- A ---
A plane-wave DFT calculation with PBE was carried out for crystalline Na4In5Pb2 at its relaxed geometry.

```
Na4In5Pb2
1.0
8.274 0.000 0.000
0.000 3.359 0.000
-0.602 0.000 11.028
Na In Pb
4 5 2
direct
0.163 0.000 0.400
0.298 0.000 0.946
0.702 0.000 0.054
0.837 0.000 0.600
0.206 0.500 0.663
0.436 0.500 0.218
0.500 0.500 0.500
0.564 0.500 0.782
0.794 0.500 0.337
0.059 0.500 0.143
0.941 0.500 0.857
```

Properties
As for the space group: P2/m.

--- B ---
A plane-wave DFT calculation with PBE was carried out for crystalline Na4In5Pb2 at its relaxed geometry.

```
Na4In5Pb2
1.0
9.700 0.000 0.000
0.000 3.349 0.000
-4.847 0.000 9.435
Na In Pb
4 5 2
direct
0.195 0.000 0.465
0.236 0.000 0.021
0.764 0.000 0.979
0.805 0.000 0.535
0.072 0.500 0.171
0.181 0.500 0.726
0.500 0.500 0.000
0.819 0.500 0.274
0.928 0.500 0.829
0.460 0.500 0.322
0.540 0.500 0.678
```

Properties
As for the space group: P2/m.

Most favorable first, least favorable last: A, B